Compound: NaTi2CuP
Source: Alexandria
Functional: PBE
Structure: relaxed

abc: 4.798 4.283 4.798
angles: 90.00 90.00 90.00
Atoms (fractional coordinates):
Na: 0.500 0.500 0.500
Cu: 0.000 0.000 0.000
P: 0.000 0.500 0.000
Ti: 0.000 0.000 0.500
Ti: 0.500 0.000 0.000

**Spin magnetization**: 0.3675 μB per atom
**Crystal system**: tetragonal
**Formation energy from the elements**: 0.631 eV/atom
**Theoretical density**: 3.59 g/cm³